No. 1
MgBe2As: relaxed, PBEsol.

## Properties
Its calculated total energy is -0.235 Ry per atom. For the density of states at the Fermi level, the calculation gives 1.60 states/eV/f.u. The total magnetic moment comes out at 0.00 μB/f.u.

Lattice parameters (Å, degrees): 6.1113 6.1113 6.1113 90.00 90.00 90.00
Closest atoms and distances in Å follow each position.
Space group Fm-3m (No. 225)
Inequivalent atoms, fractional coordinates:
Mg 0.0000 0.0000 0.0000 (multiplicity 4)  8 Be 2.65
Be 0.2500 0.2500 0.2500 (multiplicity 8)  4 As 2.65, 4 Mg 2.65
As 0.0000 0.0000 0.5000 (multiplicity 4)  8 Be 2.65



No. 2
MgBeAs2: relaxed, PBEsol.

## Properties
Its calculated total energy is -0.265 Ry per atom. For the density of states at the Fermi level, the calculation gives 1.84 states/eV/f.u. The total magnetic moment comes out at 0.00 μB/f.u.

Lattice parameters (Å, degrees): 6.4627 6.4627 6.4627 90.00 90.00 90.00
Closest atoms and distances in Å follow each position.
Space group F-43m (No. 216)
Inequivalent atoms, fractional coordinates:
Mg 0.0000 0.0000 0.0000 (multiplicity 4)  4 Be 2.80, 4 As 2.80
Be 0.2500 0.2500 0.2500 (multiplicity 4)  4 As 2.80, 4 Mg 2.80
As 0.0000 0.0000 0.5000 (multiplicity 4)  4 As 2.80, 4 Be 2.80
As 0.2500 0.2500 0.7500 (multiplicity 4)  4 As 2.80, 4 Mg 2.80



No. 3
MgBeAs2: relaxed, PBEsol.

## Properties
Its calculated total energy is -0.291 Ry per atom. For the density of states at the Fermi level, the calculation gives 1.57 states/eV/f.u. The total magnetic moment comes out at 0.00 μB/f.u.

Lattice parameters (Å, degrees): 3.3861 3.4858 11.6726 90.00 90.00 90.00
Closest atoms and distances in Å follow each position.
Space group Imm2 (No. 44)
Inequivalent atoms, fractional coordinates:
Mg 0.0000 0.0000 0.0000 (multiplicity 2)  6 As 2.75-2.81
Be 0.0000 0.5000 0.2602 (multiplicity 2)  6 As 2.34-2.52
As 0.0000 0.0000 0.6214 (multiplicity 2)  2 Be 2.34
As 0.0000 0.5000 0.8181 (multiplicity 2)  4 Be 2.52, 2 Mg 2.75



No. 4
Be2MoAsP: relaxed, PBEsol.

## Properties
Its calculated total energy is -0.357 Ry per atom. For the density of states at the Fermi level, the calculation gives 2.86 states/eV/f.u. The total magnetic moment comes out at 0.00 μB/f.u.

Lattice parameters (Å, degrees): 4.3721 4.3721 4.6489 90.00 90.00 90.00
Closest atoms and distances in Å follow each position.
Space group P4/mmm (No. 123)
Inequivalent atoms, fractional coordinates:
Be 0.0000 0.5000 0.0000 (multiplicity 2)  2 Mo 2.19
Mo 0.0000 0.0000 0.0000 (multiplicity 1)  4 Be 2.19, 2 As 2.32
As 0.0000 0.0000 0.5000 (multiplicity 1)  2 Mo 2.32
P 0.5000 0.5000 0.5000 (multiplicity 1)  4 As 3.09, 8 Be 3.19



No. 5
BeMoAs2Se: relaxed, PBEsol.

## Properties
For the density of states at the Fermi level, the calculation gives 3.46 states/eV/f.u. The total magnetic moment comes out at 2.75 μB/f.u. The value obtained for the energy relative to the elements, uncorrected is 4.069 eV per formula unit.

Lattice parameters (Å, degrees): 4.3098 4.3098 4.6533 90.00 90.00 90.00
Closest atoms and distances in Å follow each position.
Space group P4/mmm (No. 123)
Inequivalent atoms, fractional coordinates:
Be 0.0000 0.0000 0.0000 (multiplicity 1)  4 As 2.15, 2 Se 2.33
Mo 0.5000 0.5000 0.5000 (multiplicity 1)  4 Se 3.05, 8 As 3.17
As 0.0000 0.5000 0.0000 (multiplicity 2)  2 Be 2.15
Se 0.0000 0.0000 0.5000 (multiplicity 1)  2 Be 2.33



No. 6
BeMoAsSe2: relaxed, PBEsol.

## Properties
For the density of states at the Fermi level, the calculation gives 3.31 states/eV/f.u. The total magnetic moment comes out at 0.00 μB/f.u. The value obtained for the energy relative to the elements, uncorrected is 3.755 eV per formula unit.

Lattice parameters (Å, degrees): 4.8389 4.8389 4.8625 90.00 90.00 90.00
Closest atoms and distances in Å follow each position.
Space group P4/mmm (No. 123)
Inequivalent atoms, fractional coordinates:
Be 0.0000 0.0000 0.0000 (multiplicity 1)  4 As 3.42, 8 Se 3.43
Mo 0.5000 0.5000 0.5000 (multiplicity 1)  4 Se 2.42, 2 As 2.43
As 0.5000 0.5000 0.0000 (multiplicity 1)  2 Mo 2.43
Se 0.0000 0.5000 0.5000 (multiplicity 2)  2 Mo 2.42



No. 7
BeAsN2: relaxed, PBEsol.

## Properties
For the density of states at the Fermi level, the calculation gives 2.22 states/eV/f.u. The total magnetic moment comes out at 0.00 μB/f.u. The value obtained for the energy relative to the elements, uncorrected is -0.128 eV per formula unit.

Lattice parameters (Å, degrees): 4.2756 4.2756 8.7617 90.00 90.00 90.00
Closest atoms and distances in Å follow each position.
Space group I-42d (No. 122)
Inequivalent atoms, fractional coordinates:
Be 0.0000 0.0000 0.0000 (multiplicity 4)  4 N 1.77
As 0.0000 0.0000 0.5000 (multiplicity 4)  4 N 1.97
N 0.2094 0.2500 0.1250 (multiplicity 8)  2 Be 1.77, 2 As 1.97



No. 8
BeNbAsN2: relaxed, PBEsol.

## Properties
For the density of states at the Fermi level, the calculation gives 4.20 states/eV/f.u. The total magnetic moment comes out at 0.01 μB/f.u. The value obtained for the energy relative to the elements, uncorrected is 3.711 eV per formula unit.

Lattice parameters (Å, degrees): 3.9044 3.9044 5.4641 90.00 90.00 90.00
Closest atoms and distances in Å follow each position.
Space group P4/mmm (No. 123)
Inequivalent atoms, fractional coordinates:
Be 0.0000 0.0000 0.0000 (multiplicity 1)  4 As 2.76
Nb 0.5000 0.5000 0.5000 (multiplicity 1)  4 N 1.95
As 0.5000 0.5000 0.0000 (multiplicity 1)  2 Nb 2.73, 4 Be 2.76
N 0.0000 0.5000 0.5000 (multiplicity 2)  2 Nb 1.95



No. 9
BeAsSeN2: relaxed, PBEsol.

## Properties
For the density of states at the Fermi level, the calculation gives 1.66 states/eV/f.u. The total magnetic moment comes out at 0.18 μB/f.u. The value obtained for the energy relative to the elements, uncorrected is 5.801 eV per formula unit.

Lattice parameters (Å, degrees): 3.5459 3.5459 6.0730 90.00 90.00 90.00
Closest atoms and distances in Å follow each position.
Space group P4/mmm (No. 123)
Inequivalent atoms, fractional coordinates:
Be 0.0000 0.0000 0.0000 (multiplicity 1)  4 Se 2.51
As 0.5000 0.5000 0.5000 (multiplicity 1)  4 N 1.77
Se 0.5000 0.5000 0.0000 (multiplicity 1)  4 Be 2.51
N 0.0000 0.5000 0.5000 (multiplicity 2)  2 As 1.77



No. 10
BeAsSe2N: relaxed, PBEsol.

## Properties
For the density of states at the Fermi level, the calculation gives 2.66 states/eV/f.u. The total magnetic moment comes out at 0.00 μB/f.u. The value obtained for the energy relative to the elements, uncorrected is 5.070 eV per formula unit.

Lattice parameters (Å, degrees): 5.0221 5.0221 3.5380 90.00 90.00 90.00
Closest atoms and distances in Å follow each position.
Space group P4/mmm (No. 123)
Inequivalent atoms, fractional coordinates:
Be 0.0000 0.0000 0.0000 (multiplicity 1)  8 Se 3.07
As 0.5000 0.5000 0.5000 (multiplicity 1)  2 N 1.77
Se 0.0000 0.5000 0.5000 (multiplicity 2)  2 As 2.51
N 0.5000 0.5000 0.0000 (multiplicity 1)  2 As 1.77



No. 11
ZrBeAs2N: relaxed, PBEsol.

## Properties
For the density of states at the Fermi level, the calculation gives 2.91 states/eV/f.u. The total magnetic moment comes out at 0.00 μB/f.u. The value obtained for the energy relative to the elements, uncorrected is 0.078 eV per formula unit.

Lattice parameters (Å, degrees): 5.0089 5.0089 2.9967 90.00 90.00 90.00
Closest atoms and distances in Å follow each position.
Space group P4/mmm (No. 123)
Inequivalent atoms, fractional coordinates:
Zr 0.0000 0.0000 0.0000 (multiplicity 1)  8 As 2.92, 2 Zr 3.00
Be 0.5000 0.5000 0.5000 (multiplicity 1)  2 N 1.50
As 0.0000 0.5000 0.5000 (multiplicity 2)  2 Be 2.50
N 0.5000 0.5000 0.0000 (multiplicity 1)  2 Be 1.50



No. 12
NaBe2As2: relaxed, PBEsol.

## Properties
Its calculated total energy is -0.308 Ry per atom. For the density of states at the Fermi level, the calculation gives 1.60 states/eV/f.u. The total magnetic moment comes out at 0.00 μB/f.u.

Lattice parameters (Å, degrees): 3.4919 3.4919 13.9966 90.00 90.00 90.00
Closest atoms and distances in Å follow each position.
Space group I4/mmm (No. 139)
Inequivalent atoms, fractional coordinates:
Na 0.0000 0.0000 0.0000 (multiplicity 2)  8 As 3.19, 4 Na 3.49
Be 0.0000 0.5000 0.2500 (multiplicity 4)  4 As 2.29, 4 Be 2.47
As 0.0000 0.0000 0.3561 (multiplicity 4)  4 Be 2.29



No. 13
Be2Nb2As: relaxed, PBEsol.

## Properties
Its calculated total energy is -0.525 Ry per atom. For the density of states at the Fermi level, the calculation gives 3.00 states/eV/f.u. The total magnetic moment comes out at 0.00 μB/f.u.

Lattice parameters (Å, degrees): 6.0180 6.0180 3.5824 90.00 90.00 90.00
Closest atoms and distances in Å follow each position.
Space group P4/mbm (No. 127)
Inequivalent atoms, fractional coordinates:
Be 0.1178 0.3822 0.0000 (multiplicity 4)  1 Be 2.00
Nb 0.1789 0.6789 0.5000 (multiplicity 4)  6 Be 2.49-2.56
As 0.0000 0.0000 0.0000 (multiplicity 2)  4 Be 2.41



No. 14
BeNb2AsRh: relaxed, PBEsol.

## Properties
Its calculated total energy is -0.548 Ry per atom. For the density of states at the Fermi level, the calculation gives 5.06 states/eV/f.u. The total magnetic moment comes out at 0.00 μB/f.u.

Lattice parameters (Å, degrees): 4.4362 4.4362 3.9566 90.00 90.00 90.00
Closest atoms and distances in Å follow each position.
Space group P4/mmm (No. 123)
Inequivalent atoms, fractional coordinates:
Be 0.0000 0.0000 0.0000 (multiplicity 1)  2 Rh 1.98
Nb 0.0000 0.5000 0.0000 (multiplicity 2)  2 Be 2.22
As 0.5000 0.5000 0.5000 (multiplicity 1)  8 Nb 2.97, 4 Rh 3.14
Rh 0.0000 0.0000 0.5000 (multiplicity 1)  2 Be 1.98